Record 1
Material: La3Dy7Sc
Method: DFT, PBE-GGA
State: optimized geometry

Lattice parameters (Å, degrees): 7.709 7.709 6.345 92.29 92.29 82.60
Positions (direct):
La  0.000  0.000  0.000
La  0.178  0.822  0.500
La  0.822  0.178  0.500
Dy  0.101  0.434  0.232
Dy  0.245  0.245  0.713
Dy  0.434  0.101  0.232
Dy  0.500  0.500  0.500
Dy  0.566  0.899  0.768
Dy  0.755  0.755  0.287
Dy  0.899  0.566  0.768
Sc  0.500  0.500  0.000

Properties
* calculated formation energy: 0.247 eV/atom
* space-group type: C2/m
* N(E_F): 17.95 states/eV per cell


Record 2
Material: Cs4La3HoSe8
Method: DFT, PBE-GGA
State: optimized geometry

Lattice parameters (Å, degrees): 9.824 9.824 9.824 53.70 53.70 53.70
Positions (direct):
Cs  0.000  0.000  0.000
Cs  0.000  0.500  0.500
Cs  0.500  0.000  0.500
Cs  0.500  0.500  0.000
La  0.000  0.000  0.500
La  0.000  0.500  0.000
La  0.500  0.000  0.000
Ho  0.500  0.500  0.500
Se  0.231  0.231  0.231
Se  0.241  0.724  0.724
Se  0.276  0.276  0.759
Se  0.276  0.759  0.276
Se  0.724  0.241  0.724
Se  0.724  0.724  0.241
Se  0.759  0.276  0.276
Se  0.769  0.769  0.769

Properties
* space-group type: R-3m
* N(E_F): 0.00 states/eV per cell
* E_tot: -4.95 eV per atom


Record 3
Material: Zn4SbPd15
Method: DFT, PBE-GGA
State: optimized geometry

Lattice parameters (Å, degrees): 3.960 3.960 19.550 90.00 90.00 90.00
Positions (direct):
Zn  0.000  0.000  0.099
Zn  0.000  0.000  0.294
Zn  0.000  0.000  0.706
Zn  0.000  0.000  0.901
Sb  0.000  0.000  0.500
Pd  0.000  0.500  0.000
Pd  0.000  0.500  0.196
Pd  0.000  0.500  0.395
Pd  0.000  0.500  0.605
Pd  0.000  0.500  0.804
Pd  0.500  0.000  0.000
Pd  0.500  0.000  0.196
Pd  0.500  0.000  0.395
Pd  0.500  0.000  0.605
Pd  0.500  0.000  0.804
Pd  0.500  0.500  0.098
Pd  0.500  0.500  0.295
Pd  0.500  0.500  0.500
Pd  0.500  0.500  0.705
Pd  0.500  0.500  0.902

Properties
* space-group type: P4/mmm
* N(E_F): 22.45 states/eV per cell
* E_tot: -4.68 eV per atom


Record 4
Material: BeAlTcO2
Method: DFT, PBE-GGA
State: optimized geometry

Lattice parameters (Å, degrees): 3.741 3.741 5.437 90.00 90.00 90.00
Positions (direct):
Be  0.000  0.000  0.000
Al  0.500  0.500  0.000
Tc  0.500  0.500  0.500
O  0.000  0.500  0.500
O  0.500  0.000  0.500

Properties
* space-group type: P4/mmm
* N(E_F): 1.60 states/eV per cell
* E_tot: -5.86 eV per atom


Record 5
Material: Ca4Mg2Si
Method: DFT, PBE-GGA
State: optimized geometry

Lattice parameters (Å, degrees): 9.168 9.168 9.168 144.34 144.34 51.31
Positions (direct):
Ca  0.000  0.500  0.500
Ca  0.176  0.176  0.000
Ca  0.500  0.000  0.500
Ca  0.824  0.824  0.000
Mg  0.380  0.380  0.000
Mg  0.620  0.620  0.000
Si  0.000  0.000  0.000

Properties
* space-group type: I4/mmm
* N(E_F): 4.99 states/eV per cell
* E_tot: -2.34 eV per atom


Record 6
Material: TiCrAsSe2
Method: DFT, PBE-GGA
State: optimized geometry

Lattice parameters (Å, degrees): 4.837 4.837 4.644 90.00 90.00 90.00
Positions (direct):
Ti  0.000  0.000  0.000
Cr  0.500  0.500  0.500
As  0.500  0.500  0.000
Se  0.000  0.500  0.500
Se  0.500  0.000  0.500

Properties
* space-group type: P4/mmm
* N(E_F): 4.15 states/eV per cell
* E_tot: -5.59 eV per atom


Record 7
Material: PC
Method: DFT, PBE-GGA
State: optimized geometry

Lattice parameters (Å, degrees): 6.625 5.357 5.191 77.80 52.22 49.98
Positions (direct):
P  0.023  0.023  0.727
P  0.273  0.273  0.977
P  0.727  0.727  0.023
P  0.977  0.977  0.273
C  0.024  0.726  0.024
C  0.274  0.976  0.274
C  0.726  0.024  0.726
C  0.976  0.274  0.976

Properties
* calculated formation energy: 0.999 eV/atom
* space-group type: Fddd
* N(E_F): 2.04 states/eV per cell


Record 8
Material: Tm6Os2Rh
Method: DFT, PBE-GGA
State: optimized geometry

Lattice parameters (Å, degrees): 6.558 7.304 10.998 90.00 123.96 90.00
Positions (direct):
Tm  0.073  0.039  0.237
Tm  0.073  0.461  0.737
Tm  0.214  0.669  0.067
Tm  0.214  0.831  0.567
Tm  0.399  0.170  0.071
Tm  0.399  0.330  0.571
Tm  0.601  0.670  0.429
Tm  0.601  0.830  0.929
Tm  0.786  0.169  0.433
Tm  0.786  0.331  0.933
Tm  0.927  0.539  0.263
Tm  0.927  0.961  0.763
Os  0.305  0.134  0.769
Os  0.305  0.366  0.269
Os  0.695  0.634  0.731
Os  0.695  0.866  0.231
Rh  0.500  0.000  0.500
Rh  0.500  0.500  0.000

Properties
* calculated formation energy: -0.370 eV/atom
* space-group type: P2_1/c
* N(E_F): 9.56 states/eV per cell


Record 9
Material: Sr4LiSm2Ta2O12
Method: DFT, PBE-GGA
State: optimized geometry

Lattice parameters (Å, degrees): 5.846 6.176 8.428 88.97 89.43 89.28
Positions (direct):
Sr  0.000  0.000  0.000
Sr  0.045  0.145  0.529
Sr  0.516  0.648  0.530
Sr  0.568  0.553  0.031
Li  0.181  0.327  0.118
Sm  0.031  0.581  0.777
Sm  0.547  0.102  0.280
Ta  0.034  0.616  0.290
Ta  0.520  0.096  0.777
O  0.126  0.616  0.047
O  0.225  0.870  0.333
O  0.246  0.902  0.740
O  0.316  0.411  0.317
O  0.336  0.362  0.715
O  0.412  0.148  0.013
O  0.617  0.062  0.548
O  0.711  0.822  0.831
O  0.757  0.790  0.230
O  0.798  0.282  0.822
O  0.870  0.320  0.223
O  0.936  0.566  0.512

Properties
* space-group type: P1
* N(E_F): 5.12 states/eV per cell
* E_tot: -7.72 eV per atom


Record 10
Material: UMnI6
Method: DFT, PBE-GGA
State: optimized geometry

Lattice parameters (Å, degrees): 7.966 7.966 7.194 90.51 90.51 119.98
Positions (direct):
U  0.000  0.000  0.000
Mn  0.000  0.000  0.500
I  0.000  0.296  0.741
I  0.000  0.704  0.259
I  0.296  0.000  0.741
I  0.296  0.296  0.268
I  0.704  0.000  0.259
I  0.704  0.704  0.732

Properties
* space-group type: C2/m
* N(E_F): 6.49 states/eV per cell
* E_tot: -4.39 eV per atom


Record 11
Material: Y2MoBr
Method: DFT, PBE-GGA
State: optimized geometry

Lattice parameters (Å, degrees): 3.634 3.634 9.032 101.49 101.49 59.68
Positions (direct):
Y  0.244  0.244  0.230
Y  0.756  0.756  0.770
Mo  0.500  0.500  0.000
Br  0.000  0.000  0.500

Properties
* space-group type: C2/m
* N(E_F): 4.88 states/eV per cell
* E_tot: -6.61 eV per atom


Record 12
Material: NbAsSe2N
Method: DFT, PBE-GGA
State: optimized geometry

Lattice parameters (Å, degrees): 4.379 4.379 4.251 90.00 90.00 90.00
Positions (direct):
Nb  0.000  0.000  0.000
As  0.500  0.500  0.000
Se  0.000  0.500  0.500
Se  0.500  0.000  0.500
N  0.500  0.500  0.500

Properties
* space-group type: P4/mmm
* N(E_F): 4.02 states/eV per cell
* E_tot: -5.28 eV per atom


Record 13
Material: Cs3Mn2Br4Cl3
Method: DFT, PBE-GGA
State: optimized geometry

Lattice parameters (Å, degrees): 14.609 14.609 14.609 159.48 29.95 158.42
Positions (direct):
Cs  0.000  0.000  0.000
Cs  0.181  0.000  0.181
Cs  0.820  0.000  0.819
Mn  0.409  0.001  0.408
Mn  0.593  0.001  0.592
Br  0.091  0.500  0.591
Br  0.314  0.000  0.313
Br  0.687  0.000  0.687
Br  0.909  0.500  0.409
Cl  0.409  0.500  0.909
Cl  0.500  0.000  0.500
Cl  0.591  0.500  0.091

Properties
* space-group type: Imm2
* E_tot: -4.17 eV per atom


Record 14
Material: NpPaB
Method: DFT, PBE-GGA
State: optimized geometry

Lattice parameters (Å, degrees): 5.695 4.234 8.435 90.00 90.44 90.00
Positions (direct):
Np  0.229  0.137  0.350
Np  0.229  0.363  0.850
Np  0.771  0.637  0.150
Np  0.771  0.863  0.650
Pa  0.232  0.643  0.149
Pa  0.232  0.857  0.649
Pa  0.768  0.143  0.351
Pa  0.768  0.357  0.851
B  0.499  0.632  0.420
B  0.499  0.868  0.920
B  0.501  0.132  0.080
B  0.501  0.368  0.580

Properties
* calculated formation energy: 0.199 eV/atom
* space-group type: P2_1/c
* N(E_F): 22.24 states/eV per cell


Record 15
Material: CaAl2Zn4Ga
Method: DFT, PBE-GGA
State: optimized geometry

Lattice parameters (Å, degrees): 9.245 9.245 9.245 27.59 27.59 27.59
Positions (direct):
Ca  0.000  0.000  0.000
Al  0.247  0.247  0.247
Al  0.753  0.753  0.753
Zn  0.128  0.128  0.128
Zn  0.399  0.399  0.399
Zn  0.601  0.601  0.601
Zn  0.872  0.872  0.872
Ga  0.500  0.500  0.500

Properties
* calculated formation energy: -0.059 eV/atom
* space-group type: R-3m
* N(E_F): 3.04 states/eV per cell


Record 16
Material: LiPaSiAu
Method: DFT, PBE-GGA
State: optimized geometry

Lattice parameters (Å, degrees): 4.818 4.818 4.818 60.00 60.00 60.00
Positions (direct):
Li  0.000  0.000  0.000
Pa  0.500  0.500  0.500
Si  0.750  0.750  0.750
Au  0.250  0.250  0.250

Properties
* space-group type: F-43m
* N(E_F): 4.06 states/eV per cell
* E_tot: -5.34 eV per atom


Record 17
Material: K2CSe
Method: DFT, PBE-GGA
State: optimized geometry

Lattice parameters (Å, degrees): 5.427 5.427 5.427 60.00 60.00 60.00
Positions (direct):
K  0.250  0.250  0.250
K  0.750  0.750  0.750
C  0.000  0.000  0.000
Se  0.500  0.500  0.500

Properties
* space-group type: Fm-3m
* N(E_F): 4.49 states/eV per cell
* E_tot: -2.93 eV per atom


Record 18
Material: Pr2BeGa2Au4
Method: DFT, PBE-GGA
State: optimized geometry

Lattice parameters (Å, degrees): 6.347 6.347 6.347 117.73 117.73 93.99
Positions (direct):
Pr  0.250  0.750  0.500
Pr  0.750  0.250  0.500
Be  0.000  0.000  0.000
Ga  0.307  0.307  0.000
Ga  0.693  0.693  0.000
Au  0.254  0.254  0.509
Au  0.254  0.746  0.000
Au  0.746  0.254  0.000
Au  0.746  0.746  0.491

Properties
* calculated formation energy: -0.525 eV/atom
* space-group type: I4/mmm
* N(E_F): 3.22 states/eV per cell


Record 19
Material: Na5Sb2Pb
Method: DFT, PBE-GGA
State: optimized geometry

Lattice parameters (Å, degrees): 5.368 5.368 20.640 90.00 90.00 120.00
Positions (direct):
Na  0.000  0.000  0.145
Na  0.000  0.000  0.355
Na  0.000  0.000  0.645
Na  0.000  0.000  0.855
Na  0.333  0.667  0.054
Na  0.333  0.667  0.250
Na  0.333  0.667  0.446
Na  0.667  0.333  0.554
Na  0.667  0.333  0.750
Na  0.667  0.333  0.946
Sb  0.333  0.667  0.602
Sb  0.333  0.667  0.898
Sb  0.667  0.333  0.102
Sb  0.667  0.333  0.398
Pb  0.333  0.667  0.750
Pb  0.667  0.333  0.250

Properties
* space-group type: P6_3/mmc
* N(E_F): 5.47 states/eV per cell
* E_tot: -2.56 eV per atom


Record 20
Material: TlPtRhF2
Method: DFT, PBE-GGA
State: optimized geometry

Lattice parameters (Å, degrees): 4.030 4.030 5.400 90.00 90.00 90.00
Positions (direct):
Tl  0.000  0.000  0.000
Pt  0.500  0.500  0.000
Rh  0.500  0.500  0.500
F  0.000  0.500  0.500
F  0.500  0.000  0.500

Properties
* space-group type: P4/mmm
* N(E_F): 3.93 states/eV per cell
* E_tot: -4.55 eV per atom


Record 21
Material: Cs2TlRuCl6
Method: DFT, PBE-GGA
State: optimized geometry

Lattice parameters (Å, degrees): 7.691 7.691 7.691 60.00 60.00 60.00
Positions (direct):
Cs  0.250  0.250  0.250
Cs  0.750  0.750  0.750
Tl  0.000  0.000  0.000
Ru  0.500  0.500  0.500
Cl  0.280  0.280  0.720
Cl  0.280  0.720  0.280
Cl  0.280  0.720  0.720
Cl  0.720  0.280  0.280
Cl  0.720  0.280  0.720
Cl  0.720  0.720  0.280

Properties
* space-group type: Fm-3m
* N(E_F): 10.18 states/eV per cell
* E_tot: -3.67 eV per atom